PBE SmDy2Tm6Sc, optimized geometry; magnetization = 0.00 μB per formula unit; E_tot = -91.6 eV per cell; DOS at the Fermi energy = 13.26 states/eV/f.u.; density = 8.4 g/cm3; formation enthalpy at 0 K = 1.29 eV per formula unit
1.0
8.8931 -1.9509 -2.0246
0.8090 8.3497 -1.9324
0.8090 -2.2405 8.2723
Tm Dy Sm Sc
12 4 2 2
direct
0.5575 0.7503 0.1275
0.8117 0.4352 0.9911
0.6883 0.0089 0.5648
0.1883 0.5648 0.0089
0.9425 0.8725 0.2497
0.4425 0.2497 0.8725
0.6151 0.4922 0.7076
0.3117 0.9911 0.4352
0.3849 0.5078 0.2924
0.0575 0.1275 0.7503
0.1151 0.7076 0.4922
0.8849 0.2924 0.5078
0.5484 0.2011 0.3058
0.0484 0.3058 0.2011
0.4516 0.7989 0.6942
0.9516 0.6942 0.7989
0.7500 0.0232 0.9768
0.2500 0.9768 0.0232
0.2500 0.4125 0.5875
0.7500 0.5875 0.4125